[1]
Ce2ErZn2Au2 | PBE-GGA | optimized geometry

POSCAR file:
```
Ce2ErZn2Au2
1.0
2.252 1.300 8.583
-2.252 1.300 8.583
0.000 -2.601 8.583
Ce Er Zn Au
2 1 2 2
Direct
0.139 0.139 0.139
0.861 0.861 0.861
0.000 0.000 0.000
0.401 0.401 0.401
0.599 0.599 0.599
0.266 0.266 0.266
0.734 0.734 0.734
```

theoretical density	10.70	g cm⁻³
magnetization	0.72	μB per formula unit
DFT total energy	-4.14	eV/atom



[2]
UH3Rh | PBE-GGA | optimized geometry

POSCAR file:
```
UH3Rh
1.0
3.685 0.000 0.000
0.000 3.685 0.000
0.000 0.000 3.685
U H Rh
1 3 1
Direct
0.000 0.000 0.000
0.000 0.500 0.500
0.500 0.000 0.500
0.500 0.500 0.000
0.500 0.500 0.500
```

theoretical density	11.41	g cm⁻³
magnetization	3.22	μB per formula unit
DFT total energy	-5.97	eV/atom



[3]
Ca2MnFeS | PBE-GGA | optimized geometry

POSCAR file:
```
Ca2MnFeS
1.0
5.533 0.000 0.000
0.000 5.533 0.000
0.000 0.000 4.116
Ca Mn Fe S
2 1 1 1
Direct
0.000 0.500 0.000
0.500 0.000 0.000
0.000 0.000 0.000
0.500 0.500 0.500
0.000 0.000 0.500
```

theoretical density	2.94	g cm⁻³
magnetization	4.50	μB per formula unit
formation energy (no corrections)	0.3575	eV/atom
DFT total energy	-4.80	eV/atom